# KTbMo2O8 | the Alexandria database | GGA+U | optimized geometry
# Total magnetization = 0.00 μB per formula unit
# Symmetry = No. 60
# Total energy = -7.14 eV per atom
# D(E_F) = 0.0 states/eV per cell
data_KTbMo2O8
_chemical_formula_sum 'K4 Tb4 Mo8 O32'
_space_group_name_H-M_alt 'P 1'
_space_group_IT_number 1
_cell_length_a 5.152
_cell_length_b 8.098
_cell_length_c 18.893
_cell_angle_alpha 90.00
_cell_angle_beta 90.00
_cell_angle_gamma 90.00
loop_
_space_group_symop_operation_xyz
'x,y,z'
loop_
_atom_site_label
_atom_site_type_symbol
_atom_site_fract_x
_atom_site_fract_y
_atom_site_fract_z
Tb1 Tb 0.000 0.750 0.004
Tb2 Tb 0.000 0.250 0.996
Tb3 Tb 0.500 0.750 0.504
Tb4 Tb 0.500 0.250 0.496
O1 O 0.101 0.485 0.687
O2 O 0.259 0.185 0.092
O3 O 0.748 0.997 0.535
O4 O 0.248 0.003 0.965
O5 O 0.268 0.334 0.904
O6 O 0.899 0.515 0.313
O7 O 0.252 0.503 0.535
O8 O 0.232 0.834 0.596
O9 O 0.601 0.015 0.187
O10 O 0.748 0.497 0.465
O11 O 0.399 0.485 0.187
O12 O 0.241 0.685 0.408
O13 O 0.241 0.185 0.592
O14 O 0.732 0.166 0.904
O15 O 0.101 0.985 0.313
O16 O 0.741 0.315 0.092
O17 O 0.248 0.503 0.035
O18 O 0.259 0.685 0.908
O19 O 0.268 0.834 0.096
O20 O 0.252 0.003 0.465
O21 O 0.768 0.666 0.596
O22 O 0.399 0.985 0.813
O23 O 0.752 0.497 0.965
O24 O 0.768 0.166 0.404
O25 O 0.741 0.815 0.908
O26 O 0.752 0.997 0.035
O27 O 0.759 0.315 0.592
O28 O 0.732 0.666 0.096
O29 O 0.232 0.334 0.404
O30 O 0.759 0.815 0.408
O31 O 0.601 0.515 0.813
O32 O 0.899 0.015 0.687
K1 K 0.000 0.750 0.775
K2 K 0.500 0.750 0.275
K3 K 0.500 0.250 0.725
K4 K 0.000 0.250 0.225
Mo1 Mo 0.521 0.490 0.100
Mo2 Mo 0.479 0.510 0.900
Mo3 Mo 0.021 0.510 0.400
Mo4 Mo 0.979 0.990 0.400
Mo5 Mo 0.021 0.010 0.600
Mo6 Mo 0.479 0.010 0.100
Mo7 Mo 0.979 0.490 0.600
Mo8 Mo 0.521 0.990 0.900